The following is a DFT calculation (GGA+U) of an optimized crystal structure of Pm2MnAsO6.

- V: 143.8 Å³ per cell
- SG: P4mm
- Total energy: -7.347 eV per atom

a b c (Å): 5.0112 5.3567 5.3567
angles (deg): 90.00 90.00 90.00
Atoms (fractional coordinates):
Pm 0.0047 0.5000 0.0000
O 0.7265 0.7581 0.2419
O 0.1595 0.5000 0.5000
O 0.7265 0.7581 0.7581
As 0.5947 0.0000 0.0000
O 0.7265 0.2419 0.7581
O 0.2151 0.0000 0.0000
O 0.7265 0.2419 0.2419
Mn 0.5618 0.5000 0.5000
Pm 0.0047 0.0000 0.5000